(1)
A plane-wave DFT calculation with PBE was carried out for crystalline SrAg2W at its relaxed geometry. Values from VASP.

Values from the calculation:
Spin magnetization in Bohr magnetons per cell: 1.0
Calculated density in g/cm³: 9.5
Calculated volume in Å³/f.u.: 84.81
Formation energy in eV per atom: 0.7990
Space group: Imm2, No. 44
Electronic total energy in eV per atom: -4.29

```
&SYSTEM
  ibrav = 0, nat = 4, ntyp = 3
/
ATOMIC_SPECIES
Ag 107.87 Ag.upf
W 183.84 W.upf
Sr 87.62 Sr.upf
CELL_PARAMETERS angstrom
6.213 0.008 -0.003
3.228 5.309 0.003
-3.923 -4.075 2.571
ATOMIC_POSITIONS crystal
Ag 0.999 0.999 0.000
W 0.225 0.725 0.500
Ag 0.772 0.272 0.500
Sr 0.504 0.504 0.000
```


(2)
A plane-wave DFT calculation with PBE was carried out for crystalline SrAgW2 at its relaxed geometry. Values from VASP.

Values from the calculation:
Spin magnetization in Bohr magnetons per cell: 0.0
Calculated density in g/cm³: 12.1
Calculated volume in Å³/f.u.: 77.34
Formation energy in eV per atom: 1.1713
Space group: R-3m, No. 166
Electronic total energy in eV per atom: -6.44

```
&SYSTEM
  ibrav = 0, nat = 4, ntyp = 3
/
ATOMIC_SPECIES
Ag 107.87 Ag.upf
W 183.84 W.upf
Sr 87.62 Sr.upf
CELL_PARAMETERS angstrom
10.864 -0.016 -0.010
10.486 2.843 -0.010
10.486 1.388 2.481
ATOMIC_POSITIONS crystal
Ag 0.250 0.250 0.250
W 0.508 0.508 0.508
W 0.992 0.992 0.992
Sr 0.750 0.750 0.750
```


(3)
A plane-wave DFT calculation with PBE was carried out for crystalline Sr2AgW at its relaxed geometry. Values from VASP.

Values from the calculation:
Spin magnetization in Bohr magnetons per cell: 3.1
Calculated density in g/cm³: 7.1
Calculated volume in Å³/f.u.: 109.08
Formation energy in eV per atom: 1.0540
Space group: F-43m, No. 216
Electronic total energy in eV per atom: -3.74

```
&SYSTEM
  ibrav = 0, nat = 4, ntyp = 3
/
ATOMIC_SPECIES
W 183.84 W.upf
Sr 87.62 Sr.upf
Ag 107.87 Ag.upf
CELL_PARAMETERS angstrom
5.363 0.000 0.000
2.682 4.645 0.000
2.682 1.548 4.379
ATOMIC_POSITIONS crystal
W 0.750 0.750 0.750
Sr 0.000 0.000 0.000
Sr 0.250 0.250 0.250
Ag 0.500 0.500 0.500
```


(4)
A plane-wave DFT calculation with PBE was carried out for crystalline SrAgW4 at its relaxed geometry. Values from VASP.

Values from the calculation:
Spin magnetization in Bohr magnetons per cell: 0.0
Calculated density in g/cm³: 13.1
Calculated volume in Å³/f.u.: 117.85
Formation energy in eV per atom: 0.8799
Space group: F-43m, No. 216
Electronic total energy in eV per atom: -8.51

```
&SYSTEM
  ibrav = 0, nat = 6, ntyp = 3
/
ATOMIC_SPECIES
W 183.84 W.upf
Ag 107.87 Ag.upf
Sr 87.62 Sr.upf
CELL_PARAMETERS angstrom
0.000 3.891 3.891
3.891 0.000 3.891
3.891 3.891 0.000
ATOMIC_POSITIONS crystal
W 0.876 0.375 0.375
W 0.375 0.375 0.876
Ag 0.750 0.750 0.750
W 0.375 0.876 0.375
W 0.375 0.375 0.375
Sr 0.000 0.000 0.000
```


(5)
A plane-wave DFT calculation with PBE was carried out for crystalline Sr2AgW at its relaxed geometry. Values from VASP.

Values from the calculation:
Spin magnetization in Bohr magnetons per cell: 0.0
Calculated density in g/cm³: 7.5
Calculated volume in Å³/f.u.: 103.35
Formation energy in eV per atom: 0.7703
Space group: P4/mmm, No. 123
Electronic total energy in eV per atom: -4.02

```
&SYSTEM
  ibrav = 0, nat = 4, ntyp = 3
/
ATOMIC_SPECIES
Sr 87.62 Sr.upf
W 183.84 W.upf
Ag 107.87 Ag.upf
CELL_PARAMETERS angstrom
-0.106 0.274 3.246
0.451 -3.218 0.286
10.073 -1.846 0.484
ATOMIC_POSITIONS crystal
Sr 0.000 0.996 0.003
W 0.500 0.250 0.250
Sr 0.000 0.504 0.497
Ag 0.500 0.750 0.750
```


(6)
A plane-wave DFT calculation with PBE was carried out for crystalline SrAgW2 at its relaxed geometry. Values from VASP.

Values from the calculation:
Spin magnetization in Bohr magnetons per cell: 0.0
Calculated density in g/cm³: 12.1
Calculated volume in Å³/f.u.: 77.31
Formation energy in eV per atom: 1.7947
Space group: Fm-3m, No. 225
Electronic total energy in eV per atom: -5.82

```
&SYSTEM
  ibrav = 0, nat = 4, ntyp = 3
/
ATOMIC_SPECIES
W 183.84 W.upf
Ag 107.87 Ag.upf
Sr 87.62 Sr.upf
CELL_PARAMETERS angstrom
-1.370 -1.035 4.463
-0.240 3.461 3.291
-4.254 1.486 1.600
ATOMIC_POSITIONS crystal
W 0.250 0.250 0.250
W 0.750 0.750 0.750
Ag 0.500 0.500 0.500
Sr 0.000 0.000 0.000
```


(7)
A plane-wave DFT calculation with PBE was carried out for crystalline SrAgW2 at its relaxed geometry. Values from VASP.

Values from the calculation:
Spin magnetization in Bohr magnetons per cell: 0.0
Calculated density in g/cm³: 10.7
Calculated volume in Å³/f.u.: 87.78
Formation energy in eV per atom: 0.5964
Space group: Pm, No. 6
Electronic total energy in eV per atom: -7.01

```
&SYSTEM
  ibrav = 0, nat = 4, ntyp = 3
/
ATOMIC_SPECIES
Sr 87.62 Sr.upf
W 183.84 W.upf
Ag 107.87 Ag.upf
CELL_PARAMETERS angstrom
3.308 0.000 0.000
0.000 3.356 0.005
0.000 3.205 7.910
ATOMIC_POSITIONS crystal
Sr 0.500 0.754 0.756
W 0.000 0.939 0.072
W 0.500 0.262 0.219
Ag 0.000 0.544 0.454
```


(8)
A plane-wave DFT calculation with PBE was carried out for crystalline SrAgW2 at its relaxed geometry. Values from VASP.

Values from the calculation:
Spin magnetization in Bohr magnetons per cell: 0.0
Calculated density in g/cm³: 12.0
Calculated volume in Å³/f.u.: 77.74
Formation energy in eV per atom: 0.8537
Space group: P4mm, No. 99
Electronic total energy in eV per atom: -6.76

```
&SYSTEM
  ibrav = 0, nat = 4, ntyp = 3
/
ATOMIC_SPECIES
Ag 107.87 Ag.upf
Sr 87.62 Sr.upf
W 183.84 W.upf
CELL_PARAMETERS angstrom
2.798 0.000 0.000
0.000 2.798 0.000
0.000 0.000 9.928
ATOMIC_POSITIONS crystal
Ag 0.000 0.000 0.471
Sr 0.500 0.500 0.748
W 0.000 0.000 0.028
W 0.500 0.500 0.253
```